# 1
{"formula": "Ac8PmTl6", "functional": "PBE", "state": "relaxed", "lattice_angstrom": [[-0.5376, -6.8401, 7.0256], [-3.7083, -8.8598, -2.0465], [5.0053, -7.5199, -0.0752]], "species": ["Ac", "Ac", "Ac", "Ac", "Ac", "Ac", "Ac", "Ac", "Tl", "Tl", "Tl", "Tl", "Tl", "Tl", "Pm"], "frac_coords": [[0.2248, 0.8889, 0.3380], [0.3353, 0.3353, 0.9941], [0.1111, 0.4517, 0.6620], [0.8889, 0.5483, 0.3380], [0.7752, 0.1111, 0.6620], [0.4517, 0.7752, 0.6620], [0.6647, 0.6647, 0.0059], [0.5483, 0.2248, 0.3380], [0.7352, 0.3775, 0.8316], [0.9444, 0.2648, 0.1684], [0.2648, 0.6225, 0.1684], [0.0556, 0.7352, 0.8316], [0.6225, 0.9444, 0.1684], [0.3775, 0.0556, 0.8316], [0.0000, 0.0000, 0.0000]], "ef_mev_per_atom": -171, "sg": "R-3 (148)", "total_energy_ev_per_atom": -3.63}

# 2
{"formula": "AcPm12Tl3", "functional": "PBE", "state": "relaxed", "lattice_angstrom": [[-0.8754, 4.4836, -2.0333], [-4.8025, -0.3234, 1.3545], [4.4377, 8.9738, 17.8775]], "species": ["Pm", "Pm", "Pm", "Pm", "Pm", "Pm", "Pm", "Pm", "Pm", "Pm", "Pm", "Pm", "Ac", "Tl", "Tl", "Tl"], "frac_coords": [[0.0000, 0.5000, 0.6210], [0.5000, 0.5000, 0.7411], [0.5000, 0.5000, 0.5000], [0.0000, 0.5000, 0.1358], [0.5000, 0.0000, 0.1358], [0.5000, 0.0000, 0.3790], [0.5000, 0.0000, 0.8642], [0.5000, 0.5000, 0.2589], [0.5000, 0.0000, 0.6210], [0.5000, 0.5000, 0.0000], [0.0000, 0.5000, 0.3790], [0.0000, 0.5000, 0.8642], [0.0000, 0.0000, 0.0000], [0.0000, 0.0000, 0.7414], [0.0000, 0.0000, 0.5000], [0.0000, 0.0000, 0.2586]], "ef_mev_per_atom": -129, "sg": "P4/mmm (123)", "total_energy_ev_per_atom": -4.39}

# 3
{"formula": "Ac3Pm2Tl3", "functional": "PBE", "state": "relaxed", "lattice_angstrom": [[7.0205, 0.0000, 0.0000], [0.0000, 9.6956, 0.0000], [0.0000, -4.8478, 8.3966]], "species": ["Ac", "Ac", "Ac", "Ac", "Ac", "Ac", "Pm", "Pm", "Pm", "Pm", "Tl", "Tl", "Tl", "Tl", "Tl", "Tl"], "frac_coords": [[0.2500, 0.0000, 0.7565], [0.2500, 0.2435, 0.2435], [0.7500, 0.0000, 0.2435], [0.7500, 0.2435, 0.0000], [0.2500, 0.7565, 0.0000], [0.7500, 0.7565, 0.7565], [0.5000, 0.3333, 0.6667], [0.0000, 0.3333, 0.6667], [0.0000, 0.6667, 0.3333], [0.5000, 0.6667, 0.3333], [0.2500, 0.5926, 0.5926], [0.2500, 0.4074, 0.0000], [0.7500, 0.5926, 0.0000], [0.7500, 0.0000, 0.5926], [0.7500, 0.4074, 0.4074], [0.2500, 0.0000, 0.4074]], "de_polymorph_kj_per_mol_atoms": 0.00, "ef_mev_per_atom": -293, "sg": "P6_3/mcm (193)", "total_energy_ev_per_atom": -3.91}

# 4
{"formula": "AcPm3Tl3", "functional": "PBE", "state": "relaxed", "lattice_angstrom": [[-4.2395, -0.7240, 3.9031], [-4.9204, -5.1340, -6.2967], [6.1280, -4.2772, 5.8627]], "species": ["Tl", "Tl", "Tl", "Tl", "Tl", "Tl", "Pm", "Pm", "Pm", "Pm", "Pm", "Pm", "Ac", "Ac"], "frac_coords": [[0.2500, 0.2342, 0.0439], [0.7500, 0.7658, 0.9561], [0.7500, 0.1903, 0.2342], [0.2500, 0.9561, 0.1903], [0.7500, 0.0439, 0.8097], [0.2500, 0.8097, 0.7658], [0.7500, 0.6538, 0.5596], [0.7500, 0.4404, 0.0942], [0.2500, 0.0942, 0.6538], [0.2500, 0.5596, 0.9058], [0.7500, 0.9058, 0.3462], [0.2500, 0.3462, 0.4404], [0.2500, 0.6667, 0.3333], [0.7500, 0.3333, 0.6667]], "de_polymorph_kj_per_mol_atoms": 16.48, "ef_mev_per_atom": -99, "sg": "P6_3/m (176)", "total_energy_ev_per_atom": -3.74}

# 5
{"formula": "AcPm5Tl3", "functional": "PBE", "state": "relaxed", "lattice_angstrom": [[-2.1284, 4.0334, 5.3358], [-9.2103, -1.1821, -2.7803], [3.9999, -6.2014, 6.2832]], "species": ["Pm", "Pm", "Pm", "Pm", "Pm", "Pm", "Pm", "Pm", "Pm", "Pm", "Tl", "Tl", "Tl", "Tl", "Tl", "Tl", "Ac", "Ac"], "frac_coords": [[0.0000, 0.6667, 0.3334], [0.5000, 0.3333, 0.6666], [0.2500, 0.6648, 0.0000], [0.2500, 0.3353, 0.3352], [0.0000, 0.3333, 0.6666], [0.7500, 0.6647, 0.6648], [0.5000, 0.6667, 0.3334], [0.7500, 0.9999, 0.3352], [0.2500, 0.0001, 0.6648], [0.7500, 0.3352, 0.0000], [0.7500, 0.6618, 0.0000], [0.7500, 0.0000, 0.6619], [0.2500, 0.6619, 0.6619], [0.7500, 0.3381, 0.3381], [0.2500, 0.3382, 0.0000], [0.2500, 0.0000, 0.3381], [0.0000, 0.0000, 0.0000], [0.5000, 0.0000, 0.0000]], "ef_mev_per_atom": -241, "sg": "P6_3/mcm (193)", "total_energy_ev_per_atom": -4.13}

# 6
{"formula": "AcPmTl2", "functional": "PBE", "state": "relaxed", "lattice_angstrom": [[5.6860, 0.0000, 0.0000], [2.8430, 4.9242, 0.0000], [2.8430, 1.6414, 4.6426]], "species": ["Pm", "Ac", "Tl", "Tl"], "frac_coords": [[0.0000, 0.0000, 0.0000], [0.5000, 0.5000, 0.5000], [0.2500, 0.2500, 0.2500], [0.7500, 0.7500, 0.7500]], "de_polymorph_kj_per_mol_atoms": 1.53, "ef_mev_per_atom": -347, "sg": "Fm-3m (225)", "total_energy_ev_per_atom": -3.75}

# 7
{"formula": "AcPmTl", "functional": "PBE", "state": "relaxed", "lattice_angstrom": [[4.0486, 0.0000, 0.0000], [0.0000, 5.5114, 0.0000], [0.0000, -2.7557, 4.7730]], "species": ["Pm", "Tl", "Ac"], "frac_coords": [[0.5369, 0.3333, 0.6667], [0.4530, 0.6667, 0.3333], [0.0101, 0.0000, 0.0000]], "de_polymorph_kj_per_mol_atoms": 9.32, "ef_mev_per_atom": -157, "sg": "P3m1 (156)", "total_energy_ev_per_atom": -3.90}

# 8
{"formula": "AcPmTl", "functional": "PBE", "state": "relaxed", "lattice_angstrom": [[-0.8196, -4.3758, 2.5999], [4.4272, -2.7174, -3.1779], [2.9720, 5.5748, 5.2080]], "species": ["Tl", "Tl", "Ac", "Ac", "Pm", "Pm"], "frac_coords": [[0.5692, 0.5692, 0.1384], [0.4308, 0.9308, 0.8616], [0.9026, 0.4026, 0.8052], [0.0974, 0.0974, 0.1948], [0.1990, 0.6990, 0.3979], [0.8010, 0.8010, 0.6021]], "de_polymorph_kj_per_mol_atoms": 41.52, "ef_mev_per_atom": 177, "sg": "Imma (74)", "total_energy_ev_per_atom": -3.57}